A | Nd4SmEr2: relaxed, PBE-GGA.

a b c (Å): 12.610 12.610 6.837
angles (deg): 97.00 97.00 150.22
Sites, in units of the cell vectors:
1 Nd 0.715 0.177 0.868
2 Nd 0.794 0.186 0.399
3 Nd 0.560 0.597 0.133
4 Nd 0.597 0.560 0.633
5 Nd 0.177 0.715 0.368
6 Nd 0.145 0.037 0.101
7 Nd 0.186 0.794 0.899
8 Nd 0.037 0.145 0.601
9 Sm 0.674 0.424 0.000
10 Sm 0.424 0.674 0.500
11 Er 0.922 0.105 0.051
12 Er 0.105 0.922 0.551
13 Er 0.305 0.622 0.949
14 Er 0.622 0.305 0.449

B | Nd4SmEr2: relaxed, PBE-GGA.

a b c (Å): 6.888 9.048 9.048
angles (deg): 78.84 67.63 67.63
Sites, in units of the cell vectors:
1 Sm 0.500 0.500 0.000
2 Sm 0.000 0.500 0.000
3 Nd 0.769 0.759 0.259
4 Nd 0.148 0.354 0.349
5 Nd 0.788 0.241 0.741
6 Nd 0.852 0.151 0.146
7 Nd 0.852 0.646 0.651
8 Nd 0.148 0.849 0.854
9 Nd 0.212 0.759 0.259
10 Nd 0.231 0.241 0.741
11 Er 0.719 0.031 0.531
12 Er 0.500 0.500 0.500
13 Er 0.281 0.969 0.469
14 Er 0.500 0.000 0.000

Of them, A has the highest stability.